The following is a DFT calculation (PBE-GGA) of a relaxed BaLiBr2 crystal.

abc: 8.002 8.002 8.002
angles: 39.23 39.23 39.23
Fractional coordinates of all 4 atoms:
Ba1 0.000 0.000 0.000
Li1 0.500 0.500 0.500
Br1 0.388 0.388 0.388
Br2 0.612 0.612 0.612

Space group: R-3m (166)

***

The following is a DFT calculation (PBE-GGA) of a relaxed BaLi2Br crystal.

abc: 5.218 5.218 8.042
angles: 118.93 118.93 47.61
Fractional coordinates of all 4 atoms:
Ba1 0.000 0.000 0.000
Li1 0.589 0.589 0.453
Li2 0.853 0.853 0.357
Br1 0.156 0.156 0.705

Space group: Cm (8)

***

The following is a DFT calculation (PBE-GGA) of a relaxed BaLiBr2 crystal.

abc: 5.642 5.642 5.642
angles: 60.00 60.00 60.00
Fractional coordinates of all 4 atoms:
Ba1 0.000 0.000 0.000
Li1 0.500 0.500 0.500
Br1 0.250 0.250 0.250
Br2 0.750 0.750 0.750

Space group: Fm-3m (225)

***

| no. | electronic total energy (eV for the cell shown) | relative energy among the computed polymorphs (eV per atom) | formation energy without anion corrections (eV/atom) |
| --- | --- | --- | --- |
| 1 | -12.8 | 0.092 | -1.398 |
| 2 | -9.8 | 0.051 | -0.588 |
| 3 | -12.4 | 0.185 | -1.305 |